A relaxed Re2IrCl crystal. Source: Alexandria via LeMat-Bulk, functional GGA-PBE.

a = 5.558 Å, b = 5.558 Å, c = 10.503 Å
α = 90.00°, β = 90.00°, γ = 90.00°
Space group I-42d (No. 122)
Inequivalent atoms, fractional coordinates:
1 Re 0.236 0.250 0.125 x8
2 Ir 0.000 0.000 0.500 x4
3 Cl 0.000 0.000 0.000 x4

Properties
E: -120.78 eV per cell
Formation energy without anion corrections: 130.47 kJ/mol of atoms